An optimized crystal structure of Y8CuIr2. Source: the Alexandria database, functional PBE-GGA.

- electronic total energy (eV/atom) = -6.999
- D(E_F) (states/eV/cell) = 12.319
- space group = Cm, No. 8
- E_form (kcal/mol of atoms) = -7.25

Geometry as CIF:
```
data_Y8CuIr2
_space_group_name_H-M_alt 'P 1'
_space_group_IT_number 1
_space_group_name_Hall 'P 1'
_cell_length_a 7.547
_cell_length_b 7.547
_cell_length_c 5.971
_cell_angle_alpha 99.26
_cell_angle_beta 99.26
_cell_angle_gamma 111.41
loop_
_atom_site_label
_atom_site_type_symbol
_atom_site_fract_x
_atom_site_fract_y
_atom_site_fract_z
_atom_site_occupancy
Y1 Y 0.000 0.000 0.000 1
Y2 Y 0.026 0.292 0.579 1
Y3 Y 0.135 0.586 0.191 1
Y4 Y 0.292 0.026 0.579 1
Y5 Y 0.438 0.703 0.791 1
Y6 Y 0.586 0.135 0.191 1
Y7 Y 0.703 0.438 0.791 1
Y8 Y 0.730 0.730 0.383 1
Cu1 Cu 0.364 0.364 0.355 1
Ir1 Ir 0.053 0.680 0.689 1
Ir2 Ir 0.680 0.053 0.689 1
```